Density functional theory data (PBE) for a geometry-optimized Cs2PuAl2O6 structure.

Geometry as POSCAR:
```
Cs2PuAl2O6
1.0
6.098 0.000 0.000
3.049 5.281 0.000
3.049 1.760 6.569
O Cs Al Pu
6 2 2 1
direct
0.725 0.239 0.798 O
0.239 0.239 0.798 O
0.275 0.761 0.202 O
0.761 0.761 0.202 O
0.239 0.725 0.798 O
0.761 0.275 0.202 O
0.792 0.792 0.623 Cs
0.208 0.208 0.377 Cs
0.397 0.397 0.808 Al
0.603 0.603 0.192 Al
0.000 0.000 0.000 Pu
```

## Properties
E_form (uncorrected)	-2417.1	meV/atom
total energy	-7.26	eV/atom
V	211.53	Å³/cell

Density functional theory data (PBE) for a geometry-optimized Ti6VPd3 structure.

Geometry as POSCAR:
```
Ti6VPd3
1.0
5.158 0.000 -0.061
0.000 7.427 0.000
-0.005 0.000 8.827
Pd Ti V
6 12 2
direct
0.776 0.919 0.755 Pd
0.276 0.581 0.255 Pd
0.500 0.500 0.000 Pd
0.224 0.081 0.245 Pd
0.724 0.419 0.745 Pd
0.000 0.000 0.500 Pd
0.513 0.160 0.568 Ti
0.010 0.341 0.437 Ti
0.312 0.850 0.749 Ti
0.812 0.650 0.249 Ti
0.987 0.660 0.932 Ti
0.487 0.840 0.432 Ti
0.188 0.350 0.751 Ti
0.490 0.841 0.063 Ti
0.013 0.340 0.068 Ti
0.990 0.659 0.563 Ti
0.510 0.159 0.937 Ti
0.688 0.150 0.251 Ti
0.000 0.000 0.000 V
0.500 0.500 0.500 V
```

## Properties
formation energy	-0.098	eV/atom
total energy	-7.31	eV/atom
V	338.14	Å³/cell